[1]
## Pr2HgI2 (GGA-PBE)

Data for Pr2HgI2 after structural relaxation.

Calculated values
Electronic total energy: -3.549 eV per atom
SG: R-3m (166)
Formation energy (no corrections): -0.957 eV/atom

Unit cell a=12.425 b=12.425 c=12.425 alpha=19.97 beta=19.97 gamma=19.97
Fractional coordinates of all 5 atoms:
Pr 0.112 0.112 0.112
Pr 0.888 0.888 0.888
Hg 0.500 0.500 0.500
I 0.279 0.279 0.279
I 0.721 0.721 0.721

[2]
## Sr4ZrIr (GGA-PBE)

Data for Sr4ZrIr after structural relaxation.

Calculated values
Electronic total energy: -2.853 eV per atom
SG: F-43m (216)
Formation energy: 1.17 eV per atom

Unit cell a=6.592 b=6.592 c=6.592 alpha=60.00 beta=60.00 gamma=60.00
Fractional coordinates of all 6 atoms:
Sr 0.125 0.125 0.125
Sr 0.125 0.125 0.624
Sr 0.125 0.624 0.125
Sr 0.624 0.125 0.125
Zr 0.750 0.750 0.750
Ir 0.500 0.500 0.500

[3]
## LaOs2W (GGA-PBE)

Data for LaOs2W after structural relaxation.

Calculated values
Electronic total energy: -9.948 eV per atom
Distance to the lowest polymorph of the same formula: 0.0 kJ per mole of atoms
SG: P4/mmm (123)
Formation energy: 0.14 eV per atom

Unit cell a=3.113 b=3.113 c=7.701 alpha=90.00 beta=90.00 gamma=90.00
Fractional coordinates of all 4 atoms:
La 0.000 0.000 0.000
Os 0.500 0.500 0.304
Os 0.500 0.500 0.696
W 0.000 0.000 0.500

[4]
## K2AlI5 (GGA-PBE)

Data for K2AlI5 after structural relaxation.

Calculated values
Electronic total energy: -2.746 eV per atom
Distance to the lowest polymorph of the same formula: 0.0 kJ per mole of atoms
SG: Pnnm (58)
Formation energy (no corrections): -1.035 eV/atom

Unit cell a=13.120 b=14.706 c=10.005 alpha=90.00 beta=90.00 gamma=90.00
Fractional coordinates of all 32 atoms:
K 0.000 0.000 0.228
K 0.000 0.000 0.772
K 0.117 0.320 0.000
K 0.383 0.820 0.500
K 0.500 0.500 0.272
K 0.500 0.500 0.728
K 0.617 0.180 0.500
K 0.883 0.680 0.000
Al 0.249 0.222 0.500
Al 0.251 0.722 0.000
Al 0.749 0.278 0.000
Al 0.751 0.778 0.500
I 0.061 0.170 0.500
I 0.134 0.580 0.000
I 0.149 0.099 0.000
I 0.212 0.817 0.208
I 0.212 0.817 0.792
I 0.288 0.317 0.292
I 0.288 0.317 0.708
I 0.351 0.599 0.500
I 0.366 0.080 0.500
I 0.439 0.670 0.000
I 0.561 0.330 0.000
I 0.634 0.920 0.500
I 0.649 0.401 0.500
I 0.712 0.683 0.292
I 0.712 0.683 0.708
I 0.788 0.183 0.208
I 0.788 0.183 0.792
I 0.851 0.901 0.000
I 0.866 0.420 0.000
I 0.939 0.830 0.500

[5]
## CeAgBiPd (GGA-PBE)

Data for CeAgBiPd after structural relaxation.

Calculated values
Electronic total energy: -4.912 eV per atom
SG: F-43m (216)
Formation energy: -0.45 eV per atom

Unit cell a=5.059 b=5.059 c=5.059 alpha=60.00 beta=60.00 gamma=60.00
Fractional coordinates of all 4 atoms:
Ce 0.000 0.000 0.000
Ag 0.250 0.250 0.250
Bi 0.500 0.500 0.500
Pd 0.750 0.750 0.750

[6]
## TiIn3I6 (GGA-PBE)

Data for TiIn3I6 after structural relaxation.

Calculated values
Electronic total energy: -3.092 eV per atom
SG: P2_1/c (14)
Formation energy (no corrections): -0.551 eV/atom

Unit cell a=7.875 b=8.900 c=13.367 alpha=90.00 beta=120.65 gamma=90.00
Fractional coordinates of all 20 atoms:
Ti 0.000 0.000 0.000
Ti 0.000 0.500 0.500
In 0.314 0.096 0.773
In 0.314 0.404 0.273
In 0.500 0.000 0.500
In 0.500 0.500 0.000
In 0.686 0.596 0.727
In 0.686 0.904 0.227
I 0.088 0.057 0.229
I 0.088 0.443 0.729
I 0.224 0.730 0.075
I 0.224 0.770 0.575
I 0.341 0.162 0.043
I 0.341 0.338 0.543
I 0.659 0.662 0.457
I 0.659 0.838 0.957
I 0.776 0.230 0.425
I 0.776 0.270 0.925
I 0.912 0.557 0.271
I 0.912 0.943 0.771

| no. | magnetization (μB/cell) |
| --- | --- |
| 1 | 0.0 |
| 2 | 4.0 |
| 3 | 0.0 |
| 4 | 0.6 |
| 5 | 0.7 |
| 6 | 2.0 |